Entry 1:
Entry from Alexandria: a relaxed NaSr4P crystal (PBE).

a = 6.126 Å, b = 8.368 Å, c = 11.372 Å
α = 90.00°, β = 105.62°, γ = 90.00°
Positions (direct):
1 P 0.595 0.772 0.190
2 P 0.405 0.272 0.810
3 Sr 0.325 0.555 0.649
4 Sr 0.675 0.055 0.351
5 Sr 0.900 0.278 0.801
6 Sr 0.485 0.983 0.971
7 Sr 0.100 0.778 0.199
8 Sr 0.703 0.558 0.407
9 Sr 0.297 0.058 0.593
10 Sr 0.515 0.483 0.029
11 Na 0.884 0.788 0.769
12 Na 0.116 0.288 0.231

Crystal system: orthorhombic
Density (g cm⁻³): 2.4
Calculated formation energy (eV/atom): -0.358
N(E_F) (states/eV per atom): 0.9664



Entry 2:
Entry from Alexandria: a relaxed Dy3TmCo2 crystal (PBE).

a = 4.003 Å, b = 8.191 Å, c = 10.042 Å
α = 72.44°, β = 78.50°, γ = 75.86°
Positions (direct):
1 Tm 0.577 0.517 0.329
2 Tm 0.423 0.483 0.671
3 Dy 0.331 0.305 0.033
4 Dy 0.669 0.695 0.967
5 Dy 0.215 0.162 0.408
6 Dy 0.052 0.115 0.781
7 Dy 0.948 0.885 0.219
8 Dy 0.785 0.838 0.592
9 Co 0.616 0.187 0.581
10 Co 0.384 0.813 0.419
11 Co 0.137 0.577 0.150
12 Co 0.863 0.423 0.850

Crystal system: monoclinic
Density (g cm⁻³): 8.5
Offset from the most stable computed form (kJ/mol of formula units): 39
Calculated formation energy (eV/atom): -0.101
N(E_F) (states/eV per atom): 0.7934



Entry 3:
Entry from Alexandria: a relaxed TePtI2O crystal (PBE).

a = 5.173 Å, b = 5.173 Å, c = 4.439 Å
α = 90.00°, β = 90.00°, γ = 90.00°
Positions (direct):
1 Pt 0.500 0.500 0.500
2 O 0.000 0.000 0.000
3 I 0.000 0.500 0.000
4 I 0.500 0.000 0.000
5 Te 0.000 0.000 0.500

Crystal system: tetragonal
Density (g cm⁻³): 8.3
Offset from the most stable computed form (kJ/mol of formula units): 303
N(E_F) (states/eV per atom): 1.2945



Entry 4:
Entry from Alexandria: a relaxed TiRu2S crystal (PBE).

a = 5.502 Å, b = 5.502 Å, c = 6.399 Å
α = 64.54°, β = 64.54°, γ = 90.00°
Positions (direct):
1 Ru 0.589 0.125 0.250
2 Ru 0.161 0.625 0.250
3 Ru 0.375 0.411 0.750
4 Ru 0.875 0.839 0.750
5 Ti 0.750 0.250 0.500
6 Ti 0.000 0.000 0.000
7 S 0.500 0.500 0.000
8 S 0.250 0.750 0.500

Crystal system: tetragonal
E (eV for the cell shown): -59.532
Density (g cm⁻³): 6.1
N(E_F) (states/eV per atom): 0.3242



Entry 5:
Entry from Alexandria: a relaxed PmFeC crystal (PBE).

a = 3.304 Å, b = 5.610 Å, c = 5.639 Å
α = 108.97°, β = 90.00°, γ = 90.00°
Positions (direct):
1 Pm 0.750 0.672 0.793
2 Pm 0.250 0.328 0.207
3 Fe 0.750 0.859 0.367
4 Fe 0.250 0.141 0.633
5 C 0.750 0.220 0.510
6 C 0.250 0.780 0.490

Crystal system: monoclinic
Density (g cm⁻³): 7.2
Offset from the most stable computed form (kJ/mol of formula units): 36
Calculated formation energy (eV/atom): -0.066
N(E_F) (states/eV per atom): 0.7821



Entry 6:
Entry from Alexandria: a relaxed NaTaMn2Ag crystal (PBE).

a = 4.928 Å, b = 4.682 Å, c = 4.928 Å
α = 90.00°, β = 90.00°, γ = 90.00°
Positions (direct):
1 Ag 0.000 0.000 0.000
2 Na 0.000 0.500 0.000
3 Ta 0.500 0.500 0.500
4 Mn 0.000 0.000 0.500
5 Mn 0.500 0.000 0.000

Crystal system: tetragonal
Density (g cm⁻³): 6.2
Calculated formation energy (eV/atom): 1.532
N(E_F) (states/eV per atom): 0.9063



Look up the density of the fourth one. 6.1 g cm⁻³